Entry from the Alexandria database: crystalline CuWAu2Cl at its relaxed geometry (GGA-PBE).

- Spin magnetization: 4.06 μB per formula unit
- Formation energy without anion corrections: 28.4 kcal/mol of atoms
- Density of states at the Fermi level: 2.40 states/eV/cell

Cell and atoms, written as CIF:
```
data_CuWAu2Cl
_cell_length_a 4.9694
_cell_length_b 4.9694
_cell_length_c 4.2331
_cell_angle_alpha 90.00
_cell_angle_beta 90.00
_cell_angle_gamma 90.00
_symmetry_space_group_name_H-M 'P 4/m m m'
_symmetry_Int_Tables_number 123
_symmetry_space_group_name_Hall '-P 4 2'
loop_
_atom_site_label
_atom_site_type_symbol
_atom_site_fract_x
_atom_site_fract_y
_atom_site_fract_z
Cu1 Cu 0.0000 0.0000 0.0000
W1 W 0.5000 0.5000 0.5000
Au1 Au 0.0000 0.5000 0.0000
Cl1 Cl 0.0000 0.0000 0.5000
```